{"formula": "MgTaAg2", "functional": "PBE-GGA", "state": "relaxed", "lattice_angstrom": [[5.810, -0.004, 0.000], [2.818, 5.081, 0.000], [-3.526, -3.878, 2.508]], "species": ["Ag", "Ag", "Mg", "Ta"], "frac_coords": [[0.004, 0.004, 0.000], [0.496, 0.496, 0.000], [0.250, 0.750, 0.500], [0.750, 0.250, 0.500]], "formation_enthalpy_0k_ev_per_atom": 0.400}

=====

{"formula": "MgTaAg2", "functional": "PBE-GGA", "state": "relaxed", "lattice_angstrom": [[-0.612, 1.925, 4.470], [2.643, -3.009, 2.833], [1.453, 2.311, -4.076]], "species": ["Ag", "Ag", "Mg", "Ta"], "frac_coords": [[0.000, 0.000, 0.000], [0.250, 0.750, 0.500], [0.500, 0.500, 0.000], [0.750, 0.250, 0.500]], "formation_enthalpy_0k_ev_per_atom": 0.474}

=====

Number 1: density 9.44 g/cm3, calculated total energy -4.387 eV/atom. Number 2: density 9.71 g/cm3, calculated total energy -4.313 eV/atom.